1.
A relaxed NaMgBF6 crystal. Source: the Alexandria database, functional PBE-GGA.

a b c (Å): 4.8838 4.8838 4.8917
angles (deg): 90.00 90.00 120.00
Last column: nearest neighbours and their distance in Å.
Space group P312 (No. 149)
Symmetry-distinct sites (fractional):
1 Na 0.0000 0.0000 0.0000 (multiplicity 1)  6 F 2.36
2 Mg 0.3333 0.6667 0.5000 (multiplicity 1)  6 F 1.99
3 B 0.6667 0.3333 0.5000 (multiplicity 1)  6 F 1.65
4 F 0.3970 0.0528 0.6939 (multiplicity 6)  1 B 1.65

Summary:
Mass density ... 2.83 g/cm3
DOS(E_F) ... 0.000 states/eV/cell
Formation energy (no corrections) ... -2.776 eV/atom
Volume ... 101.05 Å³ per cell
Electronic total energy ... -5.09 eV/atom

=====

2.
A relaxed MgBOF2 crystal. Source: the Alexandria database, functional PBE-GGA.

a b c (Å): 3.7218 3.7218 4.2709
angles (deg): 90.00 90.00 90.00
Last column: nearest neighbours and their distance in Å.
Space group P4/mmm (No. 123)
Symmetry-distinct sites (fractional):
1 Mg 0.0000 0.0000 0.0000 (multiplicity 1)  4 F 1.86
2 B 0.5000 0.5000 0.5000 (multiplicity 1)  4 O 2.63, 8 F 2.83
3 O 0.0000 0.0000 0.5000 (multiplicity 1)  2 Mg 2.14
4 F 0.0000 0.5000 0.0000 (multiplicity 2)  2 Mg 1.86

Summary:
Mass density ... 2.50 g/cm3
DOS(E_F) ... 2.516 states/eV/cell
Formation energy (no corrections) ... -0.896 eV/atom
Volume ... 59.16 Å³ per cell
Energy above the lowest structure with this stoichiometry ... 721.4 meV/atom
Electronic total energy ... -4.29 eV/atom

=====

3.
A relaxed MgBO2F crystal. Source: the Alexandria database, functional PBE-GGA.

a b c (Å): 3.9576 3.9576 3.7206
angles (deg): 90.00 90.00 90.00
Last column: nearest neighbours and their distance in Å.
Space group P4/mmm (No. 123)
Symmetry-distinct sites (fractional):
1 Mg 0.0000 0.0000 0.0000 (multiplicity 1)  2 F 1.86, 4 O 1.98
2 B 0.5000 0.5000 0.5000 (multiplicity 1)  8 O 2.72, 4 F 2.80
3 O 0.0000 0.5000 0.0000 (multiplicity 2)  2 Mg 1.98
4 F 0.0000 0.0000 0.5000 (multiplicity 1)  2 Mg 1.86

Summary:
Mass density ... 2.45 g/cm3
DOS(E_F) ... 5.637 states/eV/cell
Formation energy (no corrections) ... -0.122 eV/atom
Volume ... 58.27 Å³ per cell
Electronic total energy ... -4.13 eV/atom

=====

4.
A relaxed Mg2BO3F crystal. Source: the Alexandria database, functional PBE-GGA.

a b c (Å): 9.4356 3.1380 9.5029
angles (deg): 90.00 90.00 90.00
Last column: nearest neighbours and their distance in Å.
Space group Pnma (No. 62)
Symmetry-distinct sites (fractional):
1 Mg 0.1007 0.2500 0.1809 (multiplicity 4)  5 O 2.02-2.16, 1 F 2.18
2 Mg 0.1356 0.2500 0.5694 (multiplicity 4)  3 O 2.05-2.07, 3 F 2.09-2.10
3 B 0.1731 0.2500 0.8694 (multiplicity 4)  3 O 1.36-1.40
4 O 0.0292 0.2500 0.8565 (multiplicity 4)  1 B 1.36
5 O 0.2380 0.2500 0.0020 (multiplicity 4)  1 B 1.40
6 O 0.2428 0.7500 0.2481 (multiplicity 4)  1 B 1.40
7 F 0.0073 0.2500 0.3903 (multiplicity 4)  4 Mg 2.09-2.18

Summary:
Mass density ... 2.98 g/cm3
DOS(E_F) ... 0.000 states/eV/cell
Formation energy (no corrections) ... -2.863 eV/atom
Volume ... 281.37 Å³ per cell
Electronic total energy ... -6.66 eV/atom

=====

Question: Which value of formation energy (no corrections) does entry 2 give?
Answer: -0.896 eV/atom